K3IrF6 | the Alexandria database | SCAN | single point on PBEsol structure; ρ = 4.16 g cm⁻³; DOS(E_F) = 0.000 states/eV/atom; raw formation energy = -2.458 eV/atom; symmetry = P-1
1.0
-0.3958 4.1601 4.3264
-5.2431 3.0159 0.3886
-3.5591 -1.3558 4.7413
K Ir F
3 1 6
Cartesian
-2.1610 1.3847 2.2176
-7.0371 4.4355 7.2386
-4.5990 2.9101 4.7281
0.0000 0.0000 0.0000
-3.8495 3.3227 7.1215
-2.4015 4.0414 4.1465
-5.5334 5.2140 4.2642
-3.6647 0.6062 5.1920
-5.3485 2.4975 2.3347
-6.7966 1.7787 5.3097